Material: TbPm4ErTm2
Method: DFT, PBE-GGA
State: optimized geometry

```
8
Lattice="6.206 0.000 0.000 0.000 3.590 0.000 -2.084 0.000 11.600" Properties=species:S:1:pos:R:3 pbc="T T T"
Tb 0.000 0.000 0.000
Pm 1.030 1.795 2.917
Pm -0.008 0.000 8.700
Pm 4.131 0.000 2.900
Pm 3.093 1.795 8.683
Er -1.042 1.795 5.800
Tm 2.061 0.000 5.800
Tm 3.103 1.795 0.000
```

The symmetry is P2/m, No. 10. For the energy of formation from the pure elements, the calculation gives 0.02 eV per atom.